Er6Cu2Pd | GGA-PBE | relaxed

## Properties
The raw total energy comes out at -174.2 eV per cell. The total moment is 0.000 μB per atom. For the density of states at the Fermi level, the calculation gives 32.261 states/eV per cell.

```
data_Er6Cu2Pd
_chemical_formula_sum 'Er24 Cu8 Pd4'
_cell_length_a 9.4084
_cell_length_b 9.5845
_cell_length_c 9.6230
_cell_angle_alpha 90.00
_cell_angle_beta 90.00
_cell_angle_gamma 90.00
_space_group_name_H-M_alt 'I m m m'
_space_group_IT_number 71
_space_group_name_Hall '-I 2 2'
loop_
_atom_site_label
_atom_site_type_symbol
_atom_site_fract_x
_atom_site_fract_y
_atom_site_fract_z
Er1 Er 0.0000 0.2014 0.1749
Er2 Er 0.1780 0.2350 0.5000
Er3 Er 0.1873 0.5000 0.2473
Cu1 Cu 0.0000 0.0000 0.3787
Cu2 Cu 0.1466 0.0000 0.0000
Pd1 Pd 0.0000 0.5000 0.0000
Pd2 Pd 0.0000 0.5000 0.5000
```